LiCoPO4F: optimized geometry, GGA+U.

```
data_LiCoPO4F
_chemical_formula_sum 'Li2 Co2 P2 O8 F2'
_cell_length_a 5.1102
_cell_length_b 5.1829
_cell_length_c 7.2667
_cell_angle_alpha 96.42
_cell_angle_beta 94.53
_cell_angle_gamma 113.39
_symmetry_space_group_name_H-M 'P -1'
_symmetry_Int_Tables_number 2
loop_
_symmetry_equiv_pos_as_xyz
'x,y,z'
'-x,-y,-z'
loop_
_atom_site_label
_atom_site_fract_x
_atom_site_fract_y
_atom_site_fract_z
Li1 0.0884 0.3095 0.0812
Co1 0.5000 0.0000 0.0000
Co2 0.5000 0.0000 0.5000
P1 0.2233 0.3588 0.6963
O1 0.0579 0.7644 0.4282
O2 0.2358 0.5645 0.8713
O3 0.3739 0.1620 0.7418
O4 0.4790 0.5894 0.5825
F1 0.1856 0.0082 0.1203
```

Summary:
Energy relative to the lowest polymorph listed for this composition = 154.6 meV/atom
Magnetization = 0.00 μB per atom